[1]
## Rb4Pr3NdSe8 (PBE)

Data for Rb4Pr3NdSe8 after structural relaxation.

Cell: 8.8037 8.8037 24.0947 Å, 90.00 90.00 120.00°
Space group R-3m (No. 166, hexagonal axes)
Symmetry-distinct sites (fractional):
Rb  0.0000  0.0000  0.0000
Rb  0.0000  0.5000  0.0000
Pr  0.0000  0.5000  0.5000
Nd  0.0000  0.0000  0.5000
Se  0.0000  0.0000  0.2342
Se  0.0016  0.5008  0.2340

Computed properties:
uncorrected formation energy	-2675	kJ/mol of formula units
calculated total energy	-4.9111	eV/atom


[2]
## NiC (PBE)

Data for NiC after structural relaxation.

Cell: 3.9331 3.9331 3.8758 Å, 90.00 90.00 90.00°
Space group P4/mmm (No. 123)
Symmetry-distinct sites (fractional):
Ni  0.0000  0.0000  0.0000
Ni  0.0000  0.5000  0.5000
C  0.0000  0.0000  0.5000
C  0.0000  0.5000  0.0000

Computed properties:
calculated total energy	-6.2470	eV/atom


[3]
## ScU4P6 (PBE)

Data for ScU4P6 after structural relaxation.

Cell: 10.7291 10.7291 13.3405 Å, 90.00 90.00 120.00°
Space group R-3c (No. 167, hexagonal axes)
Symmetry-distinct sites (fractional):
Sc  0.0000  0.0000  0.0000
U  0.0000  0.0000  0.2500
U  0.0000  0.3821  0.2500
P  0.0282  0.2064  0.3880

Computed properties:
calculated total energy	-8.5424	eV/atom


[4]
## Ho6ScTl (PBE)

Data for Ho6ScTl after structural relaxation.

Cell: 6.5032 11.3407 6.3704 Å, 90.00 90.12 90.00°
Space group C2/m (No. 12)
Symmetry-distinct sites (fractional):
Ho  0.0719  0.0000  0.2469
Ho  0.2081  0.2868  0.2467
Sc  0.0000  0.5000  0.0000
Tl  0.0000  0.5000  0.5000

Computed properties:
calculated total energy	-4.4660	eV/atom
E above lowest polymorph	104	meV/atom


[5]
## MgZn2In (PBE)

Data for MgZn2In after structural relaxation.

Cell: 3.4062 3.4062 6.7883 Å, 90.00 90.00 90.00°
Space group P4mm (No. 99)
Symmetry-distinct sites (fractional):
Mg  0.0000  0.0000  0.0000
Zn  0.0000  0.0000  0.4309
Zn  0.5000  0.5000  0.2441
In  0.5000  0.5000  0.6979

Computed properties:
calculated total energy	-1.7029	eV/atom


[6]
## Ca2MnPt (PBE)

Data for Ca2MnPt after structural relaxation.

Cell: 3.5299 3.5299 8.1726 Å, 90.00 90.00 90.00°
Space group P4mm (No. 99)
Symmetry-distinct sites (fractional):
Ca  0.0000  0.0000  0.0000
Ca  0.5000  0.5000  0.3891
Mn  0.0000  0.0000  0.6437
Pt  0.5000  0.5000  0.7642

Computed properties:
calculated total energy	-5.0153	eV/atom